Record 1
Density functional theory data (PBE) for an optimized crystal structure of Zr2Sc2Ni.

The structure belongs to space group I4/mmm (No. 139); the cell edges are 3.7381, 3.7381 and 16.7583 Å and the angles 90.00°, 90.00° and 90.00°. The inequivalent atoms are Zr at (0.0000, 0.5000, 0.2500), Sc at (0.0000, 0.0000, 0.0834) and Ni at (0.0000, 0.0000, 0.5000).

The crystal system is tetragonal. The formation energy comes out at 0.518 eV per atom.

=====

Record 2
Density functional theory data (PBE) for an optimized crystal structure of RbTbAg3S4.

The structure belongs to space group P-43m (No. 215); the cell edges are 6.4827, 6.4827 and 6.4827 Å and the angles 90.00°, 90.00° and 90.00°. The inequivalent atoms are Rb at (0.0000, 0.0000, 0.0000), Tb at (0.5000, 0.5000, 0.5000), Ag at (0.0000, 0.5000, 0.5000) and S at (0.2737, 0.2737, 0.2737).

As for the relative energy among the computed polymorphs: 52 meV/atom. The crystal system is cubic.

=====

Record 3
Density functional theory data (PBE) for an optimized crystal structure of NbMo.

The structure belongs to space group P6_3/mmc (No. 194); the cell edges are 3.1283, 3.1283 and 8.2244 Å and the angles 90.00°, 90.00° and 120.00°. The inequivalent atoms are Nb at (0.0000, 0.0000, 0.0000) and Mo at (0.3333, 0.6667, 0.2500).

The crystal system is hexagonal. The formation energy comes out at 0.322 eV per atom.

=====

Record 4
Density functional theory data (PBE) for an optimized crystal structure of NdGdNO.

The structure belongs to space group Pbcm (No. 57); the cell edges are 8.2612, 6.8054 and 5.0802 Å and the angles 90.00°, 90.00° and 90.00°. The inequivalent atoms are Nd at (0.1248, 0.0699, 0.2500), Gd at (0.3764, 0.5838, 0.2500), N at (0.3804, 0.5767, 0.7500) and O at (0.1389, 0.0881, 0.7500).

As for the relative energy among the computed polymorphs: 20 meV/atom. The crystal system is orthorhombic.

=====

Record 5
Density functional theory data (PBE) for an optimized crystal structure of PaAsW.

The structure belongs to space group F-43m (No. 216); the cell edges are 6.5818, 6.5818 and 6.5818 Å and the angles 90.00°, 90.00° and 90.00°. The inequivalent atoms are Pa at (0.0000, 0.0000, 0.0000), As at (0.2500, 0.2500, 0.7500) and W at (0.2500, 0.2500, 0.2500).

As for the relative energy among the computed polymorphs: 611 meV/atom. The crystal system is cubic.

=====

Record 6
Density functional theory data (PBE) for an optimized crystal structure of HfFeAs2.

The structure belongs to space group F-43m (No. 216); the cell edges are 6.4420, 6.4420 and 6.4420 Å and the angles 90.00°, 90.00° and 90.00°. The inequivalent atoms are Hf at (0.0000, 0.0000, 0.0000), Fe at (0.2500, 0.2500, 0.2500), As at (0.0000, 0.0000, 0.5000) and As at (0.2500, 0.2500, 0.7500).

The crystal system is cubic.

=====

| no. | DFT total energy (eV/cell) |
| --- | --- |
| 1 | -65.5 |
| 2 | -36.4 |
| 3 | -40.6 |
| 4 | -124.4 |
| 5 | -97.3 |
| 6 | -109.8 |